Material: ZrAlMo
Method: DFT, PBE-GGA
State: relaxed

```
3
Lattice="0.000 3.121 3.121 3.121 0.000 3.121 3.121 3.121 0.000" Properties=species:S:1:pos:R:3 pbc="T T T"
Zr 0.000 0.000 0.000
Al 1.560 1.560 1.560
Mo 3.121 3.121 3.121
```

- E above lowest polymorph: 726.9 meV per atom
- Formation energy from the elements: 0.38 eV per atom